The following is a PBE calculation of crystalline NaGe3Te4 at its relaxed geometry, from Alexandria.

The structure belongs to space group Pmn2_1 (No. 31); the cell edges are 10.212, 8.819 and 6.286 Å and the angles 90.00°, 90.00° and 90.00°. The distinct sites, in fractional coordinates, are Na at (0.000, 0.164, 0.000), Ge at (0.000, 0.833, 0.485), Ge at (0.247, 0.337, 0.469), Te at (0.000, 0.202, 0.504), Te at (0.000, 0.798, 0.049) and Te at (0.226, 0.649, 0.532).

The value obtained for the distance to the lowest polymorph of the same formula is 48 meV per atom. The calculation puts the magnetization at 0.00 μB/f.u. The uncorrected formation energy comes out at -0.171 eV/atom.